# 1
{"formula": "Li7B8C8", "functional": "PBE-GGA", "state": "relaxed", "n_ef_per_ev_atom": 0.13, "final_energy_ev_per_atom": -6.4245, "spacegroup": "P2/m (10)", "lattice": [[-1.031, -2.458, -3.913], [-1.669, -4.205, 3.082], [-6.613, 2.675, 0.069]], "species": ["Li", "Li", "Li", "Li", "Li", "Li", "Li", "B", "B", "B", "B", "B", "B", "B", "B", "C", "C", "C", "C", "C", "C", "C", "C"], "frac_coords": [[0.000, 0.500, 0.500], [0.500, 0.242, 0.000], [0.000, 0.500, 0.000], [0.500, 0.751, 0.500], [0.000, 0.000, 0.500], [0.500, 0.249, 0.500], [0.500, 0.758, 0.000], [0.665, 0.500, 0.252], [0.335, 0.500, 0.748], [0.333, 0.000, 0.747], [0.163, 0.752, 0.249], [0.837, 0.248, 0.751], [0.163, 0.248, 0.249], [0.667, 0.000, 0.253], [0.837, 0.752, 0.751], [0.831, 0.750, 0.255], [0.333, 0.000, 0.254], [0.670, 0.500, 0.752], [0.169, 0.250, 0.745], [0.831, 0.250, 0.255], [0.169, 0.750, 0.745], [0.667, 0.000, 0.746], [0.330, 0.500, 0.248]]}

***

# 2
{"formula": "SrLiLa2Pt", "functional": "PBE-GGA", "state": "relaxed", "n_ef_per_ev_atom": 1.18, "final_energy_ev_per_atom": -4.2375, "spacegroup": "P4/mmm (123)", "lattice": [[5.668, 0.000, 0.000], [0.000, 5.668, 0.000], [0.000, 0.000, 6.165]], "species": ["Pt", "La", "La", "Sr", "Li"], "frac_coords": [[0.000, 0.000, 0.000], [0.500, 0.000, 0.000], [0.000, 0.500, 0.000], [0.000, 0.000, 0.500], [0.500, 0.500, 0.500]]}

***

# 3
{"formula": "NdCF", "functional": "PBE-GGA", "state": "relaxed", "n_ef_per_ev_atom": 0.20, "e_form_raw_ev_per_atom": -1.52, "spacegroup": "Cmcm (63)", "lattice": [[-2.537, -1.422, -0.739], [1.813, -2.797, -0.845], [0.285, -3.905, 6.536]], "species": ["C", "C", "F", "F", "Nd", "Nd"], "frac_coords": [[0.250, 0.523, 0.954], [0.750, 0.477, 0.046], [0.750, 0.294, 0.412], [0.250, 0.706, 0.588], [0.750, 0.119, 0.763], [0.250, 0.881, 0.237]]}

***

# 4
{"formula": "CaScCr", "functional": "PBE-GGA", "state": "relaxed", "n_ef_per_ev_atom": 1.11, "final_energy_ev_per_atom": -5.4011, "spacegroup": "P3m1 (156)", "lattice": [[-0.513, 1.593, -2.948], [0.756, -3.305, 0.032], [-7.374, -1.682, 0.373]], "species": ["Sc", "Ca", "Cr"], "frac_coords": [[0.333, 0.667, 0.620], [0.000, 0.000, 0.027], [0.667, 0.333, 0.353]]}

***

# 5
{"formula": "BeInAs2", "functional": "PBE-GGA", "state": "relaxed", "n_ef_per_ev_atom": 0.41, "final_energy_ev_per_atom": -3.3789, "spacegroup": "I-4m2 (119)", "lattice": [[4.998, -0.261, 0.000], [1.408, 4.802, 0.000], [-3.203, -2.271, 3.103]], "species": ["As", "As", "In", "Be"], "frac_coords": [[0.000, 0.000, 0.000], [0.250, 0.750, 0.500], [0.750, 0.250, 0.500], [0.500, 0.500, 0.000]]}

***

# 6
{"formula": "NaCa3Rh", "functional": "PBE-GGA", "state": "relaxed", "n_ef_per_ev_atom": 0.64, "final_energy_ev_per_atom": -3.1362, "spacegroup": "P-1 (2)", "lattice": [[5.921, 0.059, 0.021], [-1.822, 10.281, 0.106], [-3.267, 2.249, 5.256]], "species": ["Rh", "Rh", "Ca", "Ca", "Ca", "Ca", "Ca", "Ca", "Na", "Na"], "frac_coords": [[0.165, 0.523, 0.679], [0.159, 0.521, 0.126], [0.316, 0.300, 0.624], [0.008, 0.745, 0.181], [0.271, 0.780, 0.769], [0.660, 0.607, 0.598], [0.664, 0.437, 0.206], [0.053, 0.264, 0.035], [0.574, 0.982, 0.172], [0.749, 0.063, 0.632]]}

***

# 7
{"formula": "ErTiGaRu", "functional": "PBE-GGA", "state": "relaxed", "n_ef_per_ev_atom": 0.76, "final_energy_ev_per_atom": -6.5594, "spacegroup": "F-43m (216)", "lattice": [[-3.859, -1.694, -1.995], [0.289, -2.333, -4.027], [-0.753, -4.601, -0.088]], "species": ["Ti", "Er", "Ga", "Ru"], "frac_coords": [[0.250, 0.250, 0.250], [0.750, 0.750, 0.750], [0.500, 0.500, 0.500], [0.000, 0.000, 0.000]]}

***

# 8
{"formula": "GdTlCdAu", "functional": "PBE-GGA", "state": "relaxed", "n_ef_per_ev_atom": 0.79, "final_energy_ev_per_atom": -5.5706, "spacegroup": "F-43m (216)", "lattice": [[5.107, 0.000, 0.000], [2.554, 4.423, 0.000], [2.554, 1.474, 4.170]], "species": ["Au", "Cd", "Tl", "Gd"], "frac_coords": [[0.000, 0.000, 0.000], [0.750, 0.750, 0.750], [0.500, 0.500, 0.500], [0.250, 0.250, 0.250]]}

***

# 9
{"formula": "CaAg2Cl", "functional": "PBE-GGA", "state": "relaxed", "n_ef_per_ev_atom": 0.34, "e_form_raw_ev_per_atom": -0.52, "spacegroup": "I-42d (122)", "lattice": [[-4.141, 5.301, -5.600], [-7.711, -2.847, 3.007], [-5.926, 3.179, 0.552]], "species": ["Ag", "Ag", "Ag", "Ag", "Cl", "Cl", "Ca", "Ca"], "frac_coords": [[0.375, 0.398, 0.750], [0.602, 0.125, 0.250], [0.148, 0.625, 0.250], [0.875, 0.852, 0.750], [0.250, 0.750, 0.500], [0.500, 0.500, 0.000], [0.750, 0.250, 0.500], [0.000, 0.000, 0.000]]}

***

# 10
{"formula": "CaFeGe2", "functional": "PBE-GGA", "state": "relaxed", "n_ef_per_ev_atom": 1.05, "final_energy_ev_per_atom": -5.2157, "spacegroup": "R-3m (166)", "lattice": [[-1.967, -3.265, 1.336], [-0.026, -3.385, -2.204], [3.842, -3.897, 2.239]], "species": ["Ge", "Ge", "Ca", "Fe"], "frac_coords": [[0.285, 0.285, 0.146], [0.715, 0.715, 0.854], [0.500, 0.500, 0.500], [0.000, 0.000, 0.000]]}

***

# 11
{"formula": "Ca3Ga3Rh", "functional": "PBE-GGA", "state": "relaxed", "n_ef_per_ev_atom": 0.71, "final_energy_ev_per_atom": -3.7596, "spacegroup": "C2/m (12)", "lattice": [[4.356, 0.000, 0.656], [2.159, 5.456, 0.452], [0.116, -0.153, 14.016]], "species": ["Ga", "Ga", "Ga", "Ga", "Ga", "Ga", "Ca", "Ca", "Ca", "Ca", "Ca", "Ca", "Rh", "Rh"], "frac_coords": [[0.059, 0.124, 0.758], [0.105, 0.868, 0.921], [0.853, 0.749, 0.545], [0.147, 0.251, 0.455], [0.895, 0.132, 0.079], [0.941, 0.876, 0.242], [0.395, 0.287, 0.923], [0.473, 0.668, 0.385], [0.753, 0.726, 0.767], [0.247, 0.274, 0.233], [0.527, 0.332, 0.615], [0.605, 0.713, 0.077], [0.762, 0.068, 0.409], [0.238, 0.932, 0.591]]}

***

# 12
{"formula": "HfBrF3", "functional": "PBE-GGA", "state": "relaxed", "n_ef_per_ev_atom": 0.00, "e_form_raw_ev_per_atom": -3.05, "spacegroup": "Pmn2_1 (31)", "lattice": [[-0.294, 3.735, -3.495], [-4.207, -2.276, -2.076], [-3.673, 3.296, 3.831]], "species": ["F", "F", "F", "F", "F", "F", "Br", "Br", "Hf", "Hf"], "frac_coords": [[0.450, 0.769, 0.447], [0.950, 0.584, 0.454], [0.450, 0.769, 0.954], [0.893, 0.965, 0.701], [0.393, 0.388, 0.201], [0.950, 0.584, 0.947], [0.892, 0.088, 0.201], [0.392, 0.265, 0.701], [0.692, 0.600, 0.201], [0.192, 0.753, 0.701]]}

***

# 13
{"formula": "NaTl12Bi3", "functional": "PBE-GGA", "state": "relaxed", "n_ef_per_ev_atom": 0.40, "final_energy_ev_per_atom": -2.6295, "spacegroup": "P4/mmm (123)", "lattice": [[-4.695, -1.840, 0.411], [0.796, -2.935, -4.044], [6.583, -14.208, 11.609]], "species": ["Tl", "Tl", "Tl", "Tl", "Tl", "Tl", "Tl", "Tl", "Tl", "Tl", "Tl", "Tl", "Bi", "Bi", "Bi", "Na"], "frac_coords": [[0.500, 0.500, 0.251], [0.500, 0.500, 0.000], [0.500, 0.000, 0.125], [0.000, 0.500, 0.125], [0.000, 0.500, 0.625], [0.500, 0.500, 0.749], [0.500, 0.500, 0.500], [0.000, 0.500, 0.875], [0.500, 0.000, 0.625], [0.500, 0.000, 0.375], [0.000, 0.500, 0.375], [0.500, 0.000, 0.875], [0.000, 0.000, 0.758], [0.000, 0.000, 0.242], [0.000, 0.000, 0.500], [0.000, 0.000, 0.000]]}

***

# 14
{"formula": "Cd4Si3", "functional": "PBE-GGA", "state": "relaxed", "n_ef_per_ev_atom": 0.67, "e_form_raw_ev_per_atom": 0.50, "spacegroup": "Pm-3m (221)", "lattice": [[-4.136, -3.528, 0.774], [3.597, -3.914, 1.380], [-0.335, 1.546, 5.259]], "species": ["Cd", "Cd", "Cd", "Cd", "Si", "Si", "Si"], "frac_coords": [[0.000, 0.000, 0.000], [0.500, 0.500, 0.000], [0.000, 0.500, 0.500], [0.500, 0.000, 0.500], [0.500, 0.000, 0.000], [0.000, 0.000, 0.500], [0.000, 0.500, 0.000]]}

***

# 15
{"formula": "TiSiS2Cl", "functional": "PBE-GGA", "state": "relaxed", "n_ef_per_ev_atom": 0.72, "e_form_raw_ev_per_atom": -0.26, "spacegroup": "P4/mmm (123)", "lattice": [[-2.009, 3.874, 1.910], [-1.967, -2.696, 3.399], [3.744, 0.627, 2.665]], "species": ["S", "S", "Ti", "Cl", "Si"], "frac_coords": [[0.000, 0.500, 0.000], [0.500, 0.000, 0.000], [0.000, 0.000, 0.000], [0.000, 0.000, 0.500], [0.500, 0.500, 0.500]]}

***

# 16
{"formula": "Zn2NiIr", "functional": "PBE-GGA", "state": "relaxed", "n_ef_per_ev_atom": 0.45, "final_energy_ev_per_atom": -4.5023, "spacegroup": "Fm-3m (225)", "lattice": [[0.000, 2.977, 2.977], [2.977, 0.000, 2.977], [2.977, 2.977, 0.000]], "species": ["Ir", "Zn", "Zn", "Ni"], "frac_coords": [[0.500, 0.500, 0.500], [0.250, 0.250, 0.250], [0.750, 0.750, 0.750], [0.000, 0.000, 0.000]]}

***

# 17
{"formula": "Ca4ReP", "functional": "PBE-GGA", "state": "relaxed", "n_ef_per_ev_atom": 1.21, "final_energy_ev_per_atom": -3.2377, "spacegroup": "F-43m (216)", "lattice": [[3.536, 1.649, 4.586], [-2.209, 3.444, 4.418], [-0.890, -2.335, 5.479]], "species": ["Ca", "Ca", "Ca", "Ca", "Re", "P"], "frac_coords": [[0.374, 0.374, 0.877], [0.877, 0.374, 0.374], [0.374, 0.877, 0.374], [0.374, 0.374, 0.374], [0.000, 0.000, 0.000], [0.750, 0.750, 0.750]]}

***

# 18
{"formula": "Na12Ag6Sn", "functional": "PBE-GGA", "state": "relaxed", "n_ef_per_ev_atom": 0.29, "final_energy_ev_per_atom": -1.9678, "spacegroup": "R-3 (148)", "lattice": [[-5.779, -5.422, 0.065], [3.601, -4.329, -5.577], [3.771, -4.380, 5.422]], "species": ["Na", "Na", "Na", "Na", "Na", "Na", "Na", "Na", "Na", "Na", "Na", "Na", "Ag", "Ag", "Ag", "Ag", "Ag", "Ag", "Sn"], "frac_coords": [[0.620, 0.975, 0.849], [0.531, 0.423, 0.809], [0.191, 0.469, 0.577], [0.151, 0.380, 0.025], [0.423, 0.809, 0.531], [0.849, 0.620, 0.975], [0.380, 0.025, 0.151], [0.025, 0.151, 0.380], [0.975, 0.849, 0.620], [0.469, 0.577, 0.191], [0.809, 0.531, 0.423], [0.577, 0.191, 0.469], [0.746, 0.893, 0.260], [0.893, 0.260, 0.746], [0.254, 0.107, 0.740], [0.107, 0.740, 0.254], [0.260, 0.746, 0.893], [0.740, 0.254, 0.107], [0.000, 0.000, 0.000]]}

***

# 19
{"formula": "SrPaPdSe3", "functional": "PBE-GGA", "state": "relaxed", "n_ef_per_ev_atom": 0.77, "e_form_raw_ev_per_atom": -1.37, "spacegroup": "P2_1/m (11)", "lattice": [[4.101, 0.000, 0.000], [0.000, 8.455, -0.198], [0.000, -2.415, 9.033]], "species": ["Se", "Se", "Se", "Se", "Se", "Se", "Pd", "Pd", "Pa", "Pa", "Sr", "Sr"], "frac_coords": [[0.250, 0.094, 0.877], [0.250, 0.749, 0.480], [0.750, 0.433, 0.156], [0.250, 0.567, 0.844], [0.750, 0.251, 0.520], [0.750, 0.906, 0.123], [0.250, 0.093, 0.605], [0.750, 0.907, 0.395], [0.750, 0.315, 0.827], [0.250, 0.685, 0.173], [0.750, 0.804, 0.740], [0.250, 0.196, 0.260]]}

***

# 20
{"formula": "Zn2Ni2Pb", "functional": "PBE-GGA", "state": "relaxed", "n_ef_per_ev_atom": 0.62, "final_energy_ev_per_atom": -3.5058, "spacegroup": "I4/mmm (139)", "lattice": [[-2.218, -2.275, 1.770], [2.861, -2.011, 1.001], [0.907, 1.182, 6.391]], "species": ["Pb", "Ni", "Ni", "Zn", "Zn"], "frac_coords": [[0.000, 0.000, 0.000], [0.603, 0.603, 0.793], [0.397, 0.397, 0.207], [0.750, 0.250, 0.500], [0.250, 0.750, 0.500]]}

***

# 21
{"formula": "SrMgTe", "functional": "PBE-GGA", "state": "relaxed", "n_ef_per_ev_atom": 1.41, "e_form_raw_ev_per_atom": -0.48, "spacegroup": "F-43m (216)", "lattice": [[-3.674, -1.205, 3.950], [-4.404, -3.124, -1.182], [-0.345, -5.151, 1.975]], "species": ["Te", "Sr", "Mg"], "frac_coords": [[0.750, 0.750, 0.750], [0.500, 0.500, 0.500], [0.000, 0.000, 0.000]]}

***

# 22
{"formula": "HoAl9Ni2", "functional": "PBE-GGA", "state": "relaxed", "n_ef_per_ev_atom": 0.40, "final_energy_ev_per_atom": -4.4897, "spacegroup": "I4_1/amd (141)", "lattice": [[6.295, 0.000, 2.898], [3.147, 7.451, 1.449], [0.031, 0.000, 8.217]], "species": ["Al", "Al", "Al", "Al", "Al", "Al", "Al", "Al", "Al", "Al", "Al", "Al", "Al", "Al", "Al", "Al", "Al", "Al", "Ni", "Ni", "Ni", "Ni", "Ho", "Ho"], "frac_coords": [[0.312, 0.076, 0.680], [0.438, 0.424, 0.820], [0.742, 0.820, 0.576], [0.683, 0.576, 0.180], [0.612, 0.320, 0.076], [0.742, 0.576, 0.820], [0.000, 0.000, 0.000], [0.067, 0.924, 0.320], [0.008, 0.924, 0.680], [0.138, 0.424, 0.180], [0.312, 0.680, 0.076], [0.067, 0.320, 0.924], [0.138, 0.180, 0.424], [0.612, 0.076, 0.320], [0.438, 0.820, 0.424], [0.683, 0.180, 0.576], [0.750, 0.500, 0.500], [0.008, 0.680, 0.924], [0.875, 0.250, 0.750], [0.875, 0.750, 0.250], [0.875, 0.250, 0.250], [0.375, 0.750, 0.750], [0.500, 0.000, 0.000], [0.250, 0.500, 0.500]]}

***

# 23
{"formula": "CaTcSb", "functional": "PBE-GGA", "state": "relaxed", "n_ef_per_ev_atom": 2.78, "e_form_raw_ev_per_atom": 0.99, "spacegroup": "F-43m (216)", "lattice": [[4.878, 0.000, 0.000], [2.439, 4.224, 0.000], [2.439, 1.408, 3.983]], "species": ["Ca", "Tc", "Sb"], "frac_coords": [[0.750, 0.750, 0.750], [0.500, 0.500, 0.500], [0.000, 0.000, 0.000]]}

***

# 24
{"formula": "SrFeSe2", "functional": "PBE-GGA", "state": "relaxed", "n_ef_per_ev_atom": 2.49, "e_form_raw_ev_per_atom": -0.52, "spacegroup": "Fm-3m (225)", "lattice": [[-1.000, 1.658, 4.640], [-4.753, 0.871, 1.388], [-2.244, -3.032, 3.324]], "species": ["Se", "Se", "Fe", "Sr"], "frac_coords": [[0.250, 0.250, 0.250], [0.750, 0.750, 0.750], [0.000, 0.000, 0.000], [0.500, 0.500, 0.500]]}